VASP calculation (PBE) on NdHgC after structural relaxation.

Calculated values
E   -60.58 eV for the cell shown
D(E_F)   4.31 states/eV per cell
Calculated volume   269 Å³/cell
Magnetization   0.00 μB per cell
Offset from the most stable computed form   0.007 eV per atom
Energy of formation from the pure elements   -27 kJ per mole of atoms

Cell lengths 4.0794, 6.9270, 10.3036 Å; angles 112.35, 90.00, 90.00 degrees
Last column: nearest neighbours and their distance in Å.
Element x y z (fractional)
Nd  0.5712  0.2147  0.8436  3 C 2.42-2.68
Nd  0.0712  0.2853  0.1564  3 C 2.42-2.68
Nd  0.4288  0.7853  0.1564  3 C 2.42-2.68
Nd  0.9288  0.7147  0.8436  3 C 2.42-2.68
C  0.8898  0.5666  0.0423  1 C 1.34
C  0.6102  0.0666  0.0423  1 C 1.34
C  0.1102  0.4334  0.9577  1 C 1.34
C  0.3898  0.9334  0.9577  1 C 1.34
Hg  0.8993  0.1056  0.4025  3 Hg 3.01-3.02, 2 Nd 3.28-3.30
Hg  0.6007  0.6056  0.4025  3 Hg 3.01-3.02, 2 Nd 3.28-3.30
Hg  0.1007  0.8944  0.5975  3 Hg 3.01-3.02, 2 Nd 3.28-3.30
Hg  0.3993  0.3944  0.5975  3 Hg 3.01-3.02, 2 Nd 3.28-3.30